Record 1
Material: Ho4GeSe2Cl
Method: DFT, PBE-GGA
State: relaxed

a b c (Å): 7.036 4.079 7.040
angles (deg): 90.00 109.25 90.00
Atoms (fractional coordinates):
1 Ho 0.241 0.000 0.228
2 Ho 0.257 0.500 0.767
3 Ho 0.743 0.500 0.233
4 Ho 0.759 0.000 0.772
5 Ge 0.500 0.000 0.000
6 Se 0.000 0.000 0.500
7 Se 0.000 0.500 0.000
8 Cl 0.500 0.500 0.500

Values from the calculation:
Its total magnetic moment is 0.0 μB/f.u. The calculation puts the formation energy from raw total energies at -1441 meV per atom. The value obtained for the density of states at the Fermi level is 0.506 states/eV per atom. For the total energy, the calculation gives -43.27 eV for the cell shown.

Record 2
Material: RuPtW2
Method: DFT, PBE-GGA
State: relaxed

a b c (Å): 2.779 2.779 8.033
angles (deg): 90.00 90.00 90.00
Atoms (fractional coordinates):
1 Ru 0.000 0.000 0.000
2 Pt 0.500 0.500 0.740
3 W 0.000 0.000 0.496
4 W 0.500 0.500 0.227

Values from the calculation:
Its total magnetic moment is 0.0 μB/f.u. For the energy of formation, the calculation gives -0.0204 eV/atom. The value obtained for the density of states at the Fermi level is 0.675 states/eV per atom. For the total energy, the calculation gives -41.30 eV for the cell shown. As for the polymorph energy (0 for the lowest one): 151.3 meV per atom.

Record 3
Material: CuBiPCl2
Method: DFT, PBE-GGA
State: relaxed

a b c (Å): 5.333 5.333 5.546
angles (deg): 90.00 90.00 90.00
Atoms (fractional coordinates):
1 Cu 0.000 0.000 0.000
2 Bi 0.500 0.500 0.500
3 P 0.500 0.500 0.000
4 Cl 0.000 0.500 0.500
5 Cl 0.500 0.000 0.500

Values from the calculation:
Its total magnetic moment is 0.7 μB/f.u. The calculation puts the formation energy from raw total energies at 489 meV per atom. The value obtained for the density of states at the Fermi level is 0.334 states/eV per atom. For the total energy, the calculation gives -14.64 eV for the cell shown. As for the polymorph energy (0 for the lowest one): 412.3 meV per atom.

Record 4
Material: TaTi2PdI
Method: DFT, PBE-GGA
State: relaxed

a b c (Å): 4.903 4.903 5.006
angles (deg): 90.00 90.00 90.00
Atoms (fractional coordinates):
1 Ta 0.000 0.000 0.000
2 Ti 0.000 0.500 0.000
3 Ti 0.500 0.000 0.000
4 Pd 0.000 0.000 0.500
5 I 0.500 0.500 0.500

Values from the calculation:
Its total magnetic moment is 0.0 μB/f.u. The calculation puts the formation energy from raw total energies at 992 meV per atom. The value obtained for the density of states at the Fermi level is 1.682 states/eV per atom. For the total energy, the calculation gives -29.42 eV for the cell shown.

Record 5
Material: KFeSe2
Method: DFT, PBE-GGA
State: relaxed

a b c (Å): 7.322 11.718 5.619
angles (deg): 90.00 112.49 90.00
Atoms (fractional coordinates):
1 K 0.000 0.138 0.250
2 K 0.000 0.862 0.750
3 K 0.500 0.362 0.750
4 K 0.500 0.638 0.250
5 Fe 0.000 0.498 0.750
6 Fe 0.000 0.502 0.250
7 Fe 0.500 0.002 0.250
8 Fe 0.500 0.998 0.750
9 Se 0.196 0.387 0.099
10 Se 0.196 0.613 0.599
11 Se 0.304 0.113 0.901
12 Se 0.304 0.887 0.401
13 Se 0.696 0.113 0.599
14 Se 0.696 0.887 0.099
15 Se 0.804 0.387 0.401
16 Se 0.804 0.613 0.901

Values from the calculation:
Its total magnetic moment is 2.9 μB/f.u. The calculation puts the formation energy from raw total energies at -656 meV per atom. The value obtained for the density of states at the Fermi level is 0.366 states/eV per atom. For the total energy, the calculation gives -76.62 eV for the cell shown.

Record 6
Material: AcLa2Dy5Er
Method: DFT, PBE-GGA
State: relaxed

a b c (Å): 10.096 10.096 10.096
angles (deg): 128.28 128.28 76.18
Atoms (fractional coordinates):
1 Ac 0.250 0.250 0.000
2 Ac 0.750 0.750 0.000
3 La 0.117 0.617 0.734
4 La 0.383 0.117 0.500
5 La 0.617 0.883 0.500
6 La 0.883 0.383 0.266
7 Dy 0.000 0.000 0.000
8 Dy 0.075 0.152 0.500
9 Dy 0.152 0.652 0.077
10 Dy 0.348 0.425 0.500
11 Dy 0.425 0.925 0.077
12 Dy 0.500 0.500 0.000
13 Dy 0.575 0.075 0.923
14 Dy 0.652 0.575 0.500
15 Dy 0.848 0.348 0.923
16 Dy 0.925 0.848 0.500
17 Er 0.250 0.750 0.500
18 Er 0.750 0.250 0.500

Values from the calculation:
Its total magnetic moment is 0.0 μB/f.u. For the energy of formation, the calculation gives 0.2552 eV/atom. The value obtained for the density of states at the Fermi level is 1.256 states/eV per atom. For the total energy, the calculation gives -78.48 eV for the cell shown.

Record 7
Material: Sr2HoSnSe5
Method: DFT, PBE-GGA
State: relaxed

a b c (Å): 9.326 9.326 13.224
angles (deg): 90.00 90.00 153.43
Atoms (fractional coordinates):
1 Sr 0.111 0.889 0.500
2 Sr 0.138 0.862 0.131
3 Sr 0.862 0.138 0.631
4 Sr 0.889 0.111 0.000
5 Ho 0.213 0.787 0.841
6 Ho 0.787 0.213 0.341
7 Sn 0.463 0.537 0.271
8 Sn 0.537 0.463 0.771
9 Se 0.054 0.946 0.895
10 Se 0.282 0.718 0.486
11 Se 0.316 0.684 0.195
12 Se 0.366 0.634 0.819
13 Se 0.491 0.509 0.580
14 Se 0.509 0.491 0.080
15 Se 0.634 0.366 0.319
16 Se 0.684 0.316 0.695
17 Se 0.718 0.282 0.986
18 Se 0.946 0.054 0.395

Values from the calculation:
Its total magnetic moment is 0.0 μB/f.u. The calculation puts the formation energy from raw total energies at -1495 meV per atom. The value obtained for the density of states at the Fermi level is 0.295 states/eV per atom. For the total energy, the calculation gives -85.65 eV for the cell shown.

Record 8
Material: KCu4Ru
Method: DFT, PBE-GGA
State: relaxed

a b c (Å): 5.065 5.065 5.065
angles (deg): 60.00 60.00 60.00
Atoms (fractional coordinates):
1 K 0.000 0.000 0.000
2 Cu 0.376 0.376 0.376
3 Cu 0.376 0.376 0.871
4 Cu 0.376 0.871 0.376
5 Cu 0.871 0.376 0.376
6 Ru 0.750 0.750 0.750

Values from the calculation:
Its total magnetic moment is 1.0 μB/f.u. For the energy of formation, the calculation gives 0.6561 eV/atom. The value obtained for the density of states at the Fermi level is 1.305 states/eV per atom. For the total energy, the calculation gives -22.82 eV for the cell shown.